No. 1
An optimized crystal structure of SiOs2Se, computed with PBE.

Cell and atoms, written as extended XYZ:
```
4
Lattice="4.0219 -1.4607 0.0000 4.0219 1.4607 0.0000 -1.1601 0.0000 4.9563" Properties=species:S:1:pos:R:3 pbc="T T T"
Si 0.0000 0.0000 0.0000
Os 1.1984 0.0000 3.7929
Os 5.6853 0.0000 1.1634
Se 3.4419 0.0000 2.4781
```

Final energy in eV/atom: -7.574
SG: C2/m (12)
Polymorph energy (0 for the lowest one) in meV per atom: 60
E_form (uncorrected) in meV/atom: 268

---

No. 2
An optimized crystal structure of SiOs2Se, computed with PBE.

Cell and atoms, written as extended XYZ:
```
4
Lattice="1.4510 0.8377 7.9599 -1.4510 0.8377 7.9599 0.0000 -1.6754 7.9599" Properties=species:S:1:pos:R:3 pbc="T T T"
Si 0.0000 0.0000 0.0000
Os 0.0000 0.0000 6.0824
Os 0.0000 0.0000 17.7974
Se 0.0000 0.0000 11.9399
```

Final energy in eV/atom: -7.624
SG: R-3m (166)
Polymorph energy (0 for the lowest one) in meV per atom: 10
E_form (uncorrected) in meV/atom: 218

---

No. 3
An optimized crystal structure of SiOs2Se, computed with PBE.

Cell and atoms, written as extended XYZ:
```
4
Lattice="4.2379 0.0000 0.0000 0.0000 2.9292 0.0000 -1.9961 0.0000 4.6767" Properties=species:S:1:pos:R:3 pbc="T T T"
Si 0.0000 0.0000 0.0000
Os 1.1209 0.0000 2.3384
Os 2.1189 1.4646 0.0000
Se -0.9981 1.4646 2.3384
```

Final energy in eV/atom: -7.537
SG: P2/m (10)
Polymorph energy (0 for the lowest one) in meV per atom: 97
E_form (uncorrected) in meV/atom: 304

---

No. 4
An optimized crystal structure of SiOs2Se, computed with PBE.

Cell and atoms, written as extended XYZ:
```
4
Lattice="0.0000 3.0561 3.0561 3.0561 0.0000 3.0561 3.0561 3.0561 0.0000" Properties=species:S:1:pos:R:3 pbc="T T T"
Si 0.0000 0.0000 0.0000
Os 1.5280 1.5280 1.5280
Os 4.5841 4.5841 4.5841
Se 3.0561 3.0561 3.0561
```

Final energy in eV/atom: -7.446
SG: Fm-3m (225)
Polymorph energy (0 for the lowest one) in meV per atom: 188
E_form (uncorrected) in meV/atom: 395